(1)
This record from Alexandria describes an optimized crystal structure of Sm2Al5Zn12. The functional is GGA-PBE.

Computed properties:
* energy relative to the elements: -3.9 eV/f.u.
* space-group type: No. 166
* DOS(E_F): 0.306 states/eV/atom

a b c (Å): 6.8947 6.8947 6.8947
angles (deg): 82.89 82.89 82.89
Fractional positions:
1 Sm 0.1674 0.1674 0.1674
2 Sm 0.8326 0.8326 0.8326
3 Al 0.0000 0.5000 0.5000
4 Al 0.4014 0.4014 0.4014
5 Al 0.5000 0.0000 0.5000
6 Al 0.5000 0.5000 0.0000
7 Al 0.5986 0.5986 0.5986
8 Zn 0.1467 0.1467 0.6633
9 Zn 0.1467 0.6633 0.1467
10 Zn 0.1997 0.5000 0.8003
11 Zn 0.1997 0.8003 0.5000
12 Zn 0.3367 0.8533 0.8533
13 Zn 0.5000 0.1997 0.8003
14 Zn 0.5000 0.8003 0.1997
15 Zn 0.6633 0.1467 0.1467
16 Zn 0.8003 0.1997 0.5000
17 Zn 0.8003 0.5000 0.1997
18 Zn 0.8533 0.3367 0.8533
19 Zn 0.8533 0.8533 0.3367

---

(2)
This record from Alexandria describes an optimized crystal structure of Sm3Al8Zn3. The functional is GGA-PBE.

Computed properties:
* energy relative to the elements: -5.3 eV/f.u.
* space-group type: No. 71
* DOS(E_F): 0.307 states/eV/atom

a b c (Å): 8.3479 8.3479 8.3479
angles (deg): 149.98 105.35 82.49
Fractional positions:
1 Sm 0.0000 0.0000 0.0000
2 Sm 0.3167 0.3167 0.0000
3 Sm 0.6833 0.6833 0.0000
4 Al 0.0334 0.6631 0.3703
5 Al 0.1468 0.8684 0.2784
6 Al 0.2929 0.6631 0.6297
7 Al 0.4100 0.1316 0.2784
8 Al 0.5900 0.8684 0.7216
9 Al 0.7071 0.3369 0.3703
10 Al 0.8532 0.1316 0.7216
11 Al 0.9666 0.3369 0.6297
12 Zn 0.2851 0.5000 0.7851
13 Zn 0.5000 0.0000 0.5000
14 Zn 0.7149 0.5000 0.2149

---

(3)
This record from Alexandria describes an optimized crystal structure of SmAl2Zn6. The functional is GGA-PBE.

Computed properties:
* energy relative to the elements: -0.8 eV/f.u.
* space-group type: No. 71
* DOS(E_F): 0.335 states/eV/atom

a b c (Å): 7.1747 7.1747 7.1747
angles (deg): 146.96 123.55 66.99
Fractional positions:
1 Sm 0.0000 0.0000 0.0000
2 Al 0.3832 0.8832 0.5000
3 Al 0.6168 0.1168 0.5000
4 Zn 0.0016 0.3089 0.6928
5 Zn 0.3223 0.5000 0.8223
6 Zn 0.3839 0.6911 0.6928
7 Zn 0.6161 0.3089 0.3072
8 Zn 0.6777 0.5000 0.1777
9 Zn 0.9984 0.6911 0.3072

---

(4)
This record from Alexandria describes an optimized crystal structure of Sm5Al2Zn. The functional is GGA-PBE.

Computed properties:
* energy relative to the elements: -1.8 eV/f.u.
* space-group type: No. 140
* DOS(E_F): 0.949 states/eV/atom

a b c (Å): 9.3313 9.3313 9.3313
angles (deg): 131.09 131.09 71.66
Fractional positions:
1 Sm 0.0000 0.0000 0.0000
2 Sm 0.0238 0.5238 0.8460
3 Sm 0.1778 0.0238 0.5000
4 Sm 0.3222 0.8222 0.8460
5 Sm 0.4762 0.3222 0.5000
6 Sm 0.5000 0.5000 0.0000
7 Sm 0.5238 0.6778 0.5000
8 Sm 0.6778 0.1778 0.1540
9 Sm 0.8222 0.9762 0.5000
10 Sm 0.9762 0.4762 0.1540
11 Al 0.1185 0.3815 0.5000
12 Al 0.3815 0.8815 0.2630
13 Al 0.6185 0.1185 0.7370
14 Al 0.8815 0.6185 0.5000
15 Zn 0.2500 0.2500 0.0000
16 Zn 0.7500 0.7500 0.0000

---

(5)
This record from Alexandria describes an optimized crystal structure of SmAl2Zn9. The functional is GGA-PBE.

Computed properties:
* energy relative to the elements: -1.9 eV/f.u.
* space-group type: No. 141
* DOS(E_F): 0.278 states/eV/atom

a b c (Å): 8.2812 8.2812 8.2812
angles (deg): 100.40 100.40 129.72
Fractional positions:
1 Sm 0.3750 0.6250 0.7500
2 Sm 0.6250 0.3750 0.2500
3 Al 0.0000 0.0000 0.0000
4 Al 0.0000 0.0000 0.5000
5 Al 0.0000 0.5000 0.0000
6 Al 0.5000 0.0000 0.5000
7 Zn 0.1250 0.8750 0.2500
8 Zn 0.1286 0.5521 0.3346
9 Zn 0.1286 0.7939 0.5765
10 Zn 0.2061 0.2825 0.3346
11 Zn 0.2061 0.8714 0.9235
12 Zn 0.2825 0.2061 0.8346
13 Zn 0.2825 0.4479 0.0765
14 Zn 0.4479 0.2825 0.5765
15 Zn 0.4479 0.8714 0.1654
16 Zn 0.5521 0.1286 0.8346
17 Zn 0.5521 0.7175 0.4235
18 Zn 0.7175 0.5521 0.9235
19 Zn 0.7175 0.7939 0.1654
20 Zn 0.7939 0.1286 0.0765
21 Zn 0.7939 0.7175 0.6654
22 Zn 0.8714 0.2061 0.4235
23 Zn 0.8714 0.4479 0.6654
24 Zn 0.8750 0.1250 0.7500

---

(6)
This record from Alexandria describes an optimized crystal structure of Sm8AlZn2. The functional is GGA-PBE.

Computed properties:
* energy relative to the elements: -1.5 eV/f.u.
* space-group type: No. 12
* DOS(E_F): 0.922 states/eV/atom

a b c (Å): 9.4103 9.4103 7.1996
angles (deg): 108.79 108.79 32.01
Fractional positions:
1 Sm 0.0261 0.0261 0.2735
2 Sm 0.1942 0.1942 0.8089
3 Sm 0.3287 0.3287 0.5218
4 Sm 0.4084 0.4084 0.0349
5 Sm 0.5916 0.5916 0.9651
6 Sm 0.6713 0.6713 0.4782
7 Sm 0.8058 0.8058 0.1911
8 Sm 0.9739 0.9739 0.7265
9 Al 0.5000 0.5000 0.5000
10 Zn 0.1795 0.1795 0.2023
11 Zn 0.8205 0.8205 0.7977

---

(7)
This record from Alexandria describes an optimized crystal structure of Sm2AlZn. The functional is GGA-PBE.

Computed properties:
* energy relative to the elements: 0.7 eV/f.u.
* space-group type: No. 166
* DOS(E_F): 0.652 states/eV/atom

a b c (Å): 11.0548 11.0548 11.0548
angles (deg): 18.16 18.16 18.16
Fractional positions:
1 Sm 0.0958 0.0958 0.0958
2 Sm 0.9042 0.9042 0.9042
3 Al 0.5000 0.5000 0.5000
4 Zn 0.0000 0.0000 0.0000

---

(8)
This record from Alexandria describes an optimized crystal structure of SmAl2Zn10. The functional is GGA-PBE.

Computed properties:
* energy relative to the elements: -2.2 eV/f.u.
* space-group type: No. 69
* DOS(E_F): 0.336 states/eV/atom

a b c (Å): 8.8530 6.8301 6.8109
angles (deg): 80.93 49.63 49.44
Fractional positions:
1 Sm 0.0000 0.0000 0.0000
2 Al 0.0000 0.0000 0.5000
3 Al 0.5000 0.5000 0.0000
4 Zn 0.0004 0.3550 0.6450
5 Zn 0.0000 0.5000 0.0000
6 Zn 0.9996 0.6450 0.3550
7 Zn 0.2837 0.4979 0.5021
8 Zn 0.3550 0.0004 0.9996
9 Zn 0.4979 0.2837 0.7163
10 Zn 0.5000 0.0000 0.5000
11 Zn 0.5021 0.7163 0.2837
12 Zn 0.6450 0.9996 0.0004
13 Zn 0.7163 0.5021 0.4979

---

Values of size of the total moment, in order: 0.000 0.000 0.000 0.000 0.000 0.000 0.000 0.000, all in μB/cell.